[1]
Material: MoRh3W
Method: DFT, meta-GGA SCAN
State: single point on PBEsol structure

Lattice parameters (Å, degrees): 4.597 4.597 4.597 90.00 90.00 90.00
Site moments in Bohr magnetons follow the coordinates.
Positions (direct):
W1 0.000 0.000 0.000  -0.02
Rh1 0.000 0.500 0.000  0.15
Rh2 0.000 0.000 0.500  0.15
Rh3 0.500 0.000 0.000  0.15
Mo1 0.500 0.500 0.500  3.49

* V: 97.2 Å³/cell


[2]
Material: MoRh2W
Method: DFT, meta-GGA SCAN
State: single point on PBEsol structure

Lattice parameters (Å, degrees): 2.717 3.874 5.444 90.00 90.00 90.00
Positions (direct):
Rh1 0.000 0.000 0.749
Rh2 0.000 0.000 0.250
Mo1 0.500 0.500 0.500
W1 0.500 0.500 0.000

* V: 57.3 Å³/cell
* energy relative to the lowest polymorph listed for this composition: 0.003 eV/atom


[3]
Material: MoRh2W
Method: DFT, meta-GGA SCAN
State: single point on PBEsol structure

Lattice parameters (Å, degrees): 4.369 4.369 4.369 60.00 60.00 60.00
Positions (direct):
Rh1 0.250 0.250 0.250
Rh2 0.750 0.750 0.750
Mo1 0.000 0.000 0.000
W1 0.500 0.500 0.500

* V: 59.0 Å³/cell
* energy relative to the lowest polymorph listed for this composition: 0.611 eV/atom


[4]
Material: MoRhW2
Method: DFT, meta-GGA SCAN
State: single point on PBEsol structure

Lattice parameters (Å, degrees): 2.675 4.001 5.659 90.00 90.00 90.00
Positions (direct):
Mo1 0.000 0.000 0.508
Rh1 0.500 0.500 0.750
W1 0.500 0.500 0.251
W2 0.000 0.000 0.991

* V: 60.5 Å³/cell
* energy relative to the lowest polymorph listed for this composition: 0.016 eV/atom


[5]
Material: MoRhW2
Method: DFT, meta-GGA SCAN
State: single point on PBEsol structure

Lattice parameters (Å, degrees): 2.704 4.827 4.885 98.67 90.00 106.27
Positions (direct):
W1 0.750 0.499 0.251
W2 0.990 0.980 0.992
Mo1 0.510 0.021 0.506
Rh1 0.250 0.500 0.751

* V: 60.4 Å³/cell
* energy relative to the lowest polymorph listed for this composition: 0.000 eV/atom


[6]
Material: MoRh2W
Method: DFT, meta-GGA SCAN
State: single point on PBEsol structure

Lattice parameters (Å, degrees): 2.722 2.722 7.757 90.00 90.00 90.00
Positions (direct):
Rh1 0.000 0.000 0.751
Rh2 0.000 0.000 0.249
W1 0.500 0.500 0.000
Mo1 0.500 0.500 0.500

* V: 57.5 Å³/cell
* energy relative to the lowest polymorph listed for this composition: 0.003 eV/atom


[7]
Material: ZnMo2Rh
Method: DFT, meta-GGA SCAN
State: single point on PBEsol structure

Lattice parameters (Å, degrees): 3.159 3.159 5.771 90.00 90.00 90.00
Positions (direct):
Rh1 0.000 0.000 0.519
Mo1 0.000 0.000 0.003
Mo2 0.500 0.500 0.236
Zn1 0.500 0.500 0.742

* V: 57.6 Å³/cell


[8]
Material: ZnMo2Rh
Method: DFT, meta-GGA SCAN
State: single point on PBEsol structure

Lattice parameters (Å, degrees): 3.649 3.649 4.981 111.49 111.49 90.00
Positions (direct):
Mo1 0.250 0.750 0.500
Mo2 0.750 0.250 0.500
Rh1 0.500 0.500 0.000
Zn1 0.000 0.000 0.000

* V: 56.7 Å³/cell


[9]
Material: ZnMoRh
Method: DFT, meta-GGA SCAN
State: single point on PBEsol structure

Lattice parameters (Å, degrees): 2.793 2.793 5.692 104.20 104.20 90.00
Positions (direct):
Zn1 0.672 0.672 0.344
Rh1 0.332 0.332 0.664
Mo1 0.996 0.996 0.992

* V: 41.7 Å³/cell


[10]
Material: ZnMoRh3
Method: DFT, meta-GGA SCAN
State: single point on PBEsol structure

Lattice parameters (Å, degrees): 4.358 4.358 4.358 90.00 90.00 90.00
Site moments in Bohr magnetons follow the coordinates.
Positions (direct):
Rh1 0.000 0.000 0.500  -0.53
Rh2 0.500 0.000 0.000  -0.53
Rh3 0.000 0.500 0.000  -0.53
Zn1 0.000 0.000 0.000  -0.02
Mo1 0.500 0.500 0.500  2.50

* V: 82.8 Å³/cell


[11]
Material: ZrMoRh2
Method: DFT, meta-GGA SCAN
State: single point on PBEsol structure

Lattice parameters (Å, degrees): 3.846 4.011 4.011 90.00 90.00 90.00
Positions (direct):
Mo1 0.500 0.000 0.000
Rh1 0.000 0.500 0.000
Rh2 0.000 0.000 0.500
Zr1 0.500 0.500 0.500

* V: 61.9 Å³/cell
* energy relative to the lowest polymorph listed for this composition: 0.002 eV/atom


[12]
Material: ZrMo2Rh
Method: DFT, meta-GGA SCAN
State: single point on PBEsol structure

Lattice parameters (Å, degrees): 2.735 2.735 8.639 90.00 90.00 90.00
Positions (direct):
Zr1 0.500 0.500 0.500
Mo1 0.000 0.000 0.221
Mo2 0.000 0.000 0.779
Rh1 0.500 0.500 0.000

* V: 64.6 Å³/cell
* energy relative to the lowest polymorph listed for this composition: 0.234 eV/atom


[13]
Material: ZrMo2Rh
Method: DFT, meta-GGA SCAN
State: single point on PBEsol structure

Lattice parameters (Å, degrees): 4.491 4.491 4.491 60.00 60.00 60.00
Positions (direct):
Mo1 0.000 0.000 0.000
Mo2 0.250 0.250 0.250
Rh1 0.500 0.500 0.500
Zr1 0.750 0.750 0.750

* V: 64.0 Å³/cell
* energy relative to the lowest polymorph listed for this composition: 0.000 eV/atom


[14]
Material: ZrMo2Rh
Method: DFT, meta-GGA SCAN
State: single point on PBEsol structure

Lattice parameters (Å, degrees): 2.790 4.373 5.342 90.00 99.99 90.00
Positions (direct):
Mo1 0.985 0.000 0.021
Mo2 0.771 0.500 0.234
Rh1 0.511 0.000 0.502
Zr1 0.233 0.500 0.743

* V: 64.2 Å³/cell
* energy relative to the lowest polymorph listed for this composition: 0.084 eV/atom


[15]
Material: ZrMoRh2
Method: DFT, meta-GGA SCAN
State: single point on PBEsol structure

Lattice parameters (Å, degrees): 2.838 4.511 4.881 90.00 94.65 90.00
Positions (direct):
Zr1 0.438 0.000 0.439
Rh1 0.888 0.500 0.301
Rh2 0.881 0.000 0.943
Mo1 0.292 0.500 0.817

* V: 62.3 Å³/cell
* energy relative to the lowest polymorph listed for this composition: 0.000 eV/atom


[16]
Material: ZrMo2Rh
Method: DFT, meta-GGA SCAN
State: single point on PBEsol structure

Lattice parameters (Å, degrees): 2.788 2.788 8.694 90.00 90.00 108.32
Positions (direct):
Rh1 0.000 0.000 0.512
Zr1 0.500 0.500 0.257
Mo1 0.500 0.500 0.746
Mo2 0.000 0.000 0.985

* V: 64.2 Å³/cell
* energy relative to the lowest polymorph listed for this composition: 0.138 eV/atom


[17]
Material: ZrMo2Rh
Method: DFT, meta-GGA SCAN
State: single point on PBEsol structure

Lattice parameters (Å, degrees): 2.765 4.894 5.078 98.54 90.00 106.41
Positions (direct):
Mo1 0.227 0.453 0.778
Mo2 0.989 0.977 0.963
Rh1 0.516 0.032 0.470
Zr1 0.769 0.538 0.289

* V: 65.1 Å³/cell
* energy relative to the lowest polymorph listed for this composition: 0.211 eV/atom


[18]
Material: Mo17Ru12
Method: DFT, meta-GGA SCAN
State: single point on PBEsol structure

Lattice parameters (Å, degrees): 8.216 8.216 8.216 109.47 109.47 109.47
Positions (direct):
Mo1 0.317 0.000 0.607
Mo2 0.607 0.000 0.317
Mo3 0.607 0.317 0.000
Mo4 0.710 0.393 0.393
Mo5 0.000 0.317 0.607
Mo6 0.000 0.000 0.000
Mo7 0.352 0.000 0.000
Mo8 0.683 0.290 0.683
Mo9 0.393 0.393 0.710
Mo10 0.000 0.000 0.352
Mo11 0.000 0.607 0.317
Mo12 0.393 0.710 0.393
Mo13 0.648 0.648 0.648
Mo14 0.683 0.683 0.290
Mo15 0.317 0.607 0.000
Mo16 0.290 0.683 0.683
Mo17 0.000 0.352 0.000
Ru1 0.809 0.627 0.000
Ru2 0.818 0.191 0.191
Ru3 0.627 0.809 0.000
Ru4 0.182 0.373 0.373
Ru5 0.373 0.373 0.182
Ru6 0.809 0.000 0.627
Ru7 0.000 0.809 0.627
Ru8 0.373 0.182 0.373
Ru9 0.191 0.191 0.818
Ru10 0.191 0.818 0.191
Ru11 0.627 0.000 0.809
Ru12 0.000 0.627 0.809

* V: 427.0 Å³/cell


[19]
Material: Mo8Ru7
Method: DFT, meta-GGA SCAN
State: single point on PBEsol structure

Lattice parameters (Å, degrees): 4.881 9.453 9.453 90.00 90.00 90.00
Positions (direct):
Ru1 0.500 0.500 0.500
Ru2 0.500 0.571 0.236
Ru3 0.000 0.000 0.000
Ru4 0.000 0.597 0.403
Ru5 0.500 0.097 0.097
Ru6 0.500 0.236 0.571
Ru7 0.000 0.071 0.264
Ru8 0.000 0.264 0.071
Ru9 0.000 0.736 0.929
Ru10 0.500 0.764 0.429
Ru11 0.000 0.403 0.597
Ru12 0.500 0.903 0.903
Ru13 0.500 0.429 0.764
Ru14 0.000 0.929 0.736
Mo1 0.750 0.822 0.178
Mo2 0.500 0.039 0.367
Mo3 0.000 0.867 0.461
Mo4 0.250 0.178 0.822
Mo5 0.000 0.133 0.539
Mo6 0.250 0.322 0.322
Mo7 0.750 0.178 0.822
Mo8 0.750 0.322 0.322
Mo9 0.750 0.678 0.678
Mo10 0.000 0.461 0.867
Mo11 0.000 0.539 0.133
Mo12 0.250 0.822 0.178
Mo13 0.500 0.961 0.633
Mo14 0.250 0.678 0.678
Mo15 0.500 0.367 0.039
Mo16 0.500 0.633 0.961

* V: 436.1 Å³/cell


[20]
Material: MoRu3S
Method: DFT, meta-GGA SCAN
State: single point on PBEsol structure

Lattice parameters (Å, degrees): 4.251 4.251 4.251 90.00 90.00 90.00
Site moments in Bohr magnetons follow the coordinates.
Positions (direct):
Mo1 0.500 0.500 0.500  2.69
Ru1 0.000 0.500 0.000  0.04
Ru2 0.500 0.000 0.000  0.04
Ru3 0.000 0.000 0.500  0.04
S1 0.000 0.000 0.000  0.07

* V: 76.8 Å³/cell


[21]
Material: MoRuS2
Method: DFT, meta-GGA SCAN
State: single point on PBEsol structure

Lattice parameters (Å, degrees): 4.174 4.174 4.174 60.00 60.00 60.00
Positions (direct):
S1 0.250 0.250 0.250
S2 0.750 0.750 0.750
Ru1 0.500 0.500 0.500
Mo1 0.000 0.000 0.000

* V: 51.4 Å³/cell


[22]
Material: SbMoRu2
Method: DFT, meta-GGA SCAN
State: single point on PBEsol structure

Lattice parameters (Å, degrees): 2.949 3.988 5.304 90.00 90.00 90.00
Positions (direct):
Mo1 0.500 0.500 0.780
Ru1 0.000 0.000 0.971
Ru2 0.500 0.500 0.273
Sb1 0.000 0.000 0.475

* V: 62.4 Å³/cell


[23]
Material: SbMo2Ru
Method: DFT, meta-GGA SCAN
State: single point on PBEsol structure

Lattice parameters (Å, degrees): 3.797 3.797 5.119 111.77 111.77 90.00
Positions (direct):
Ru1 0.000 0.000 0.000
Mo1 0.750 0.250 0.500
Mo2 0.250 0.750 0.500
Sb1 0.500 0.500 0.000

* V: 62.8 Å³/cell


[24]
Material: SbMoRu2
Method: DFT, meta-GGA SCAN
State: single point on PBEsol structure

Lattice parameters (Å, degrees): 2.922 4.739 4.779 99.54 90.00 107.95
Positions (direct):
Ru1 0.242 0.484 0.228
Ru2 0.758 0.516 0.772
Mo1 0.500 0.000 0.000
Sb1 0.000 0.000 0.500

* V: 62.0 Å³/cell


[25]
Material: SbMoRu2
Method: DFT, meta-GGA SCAN
State: single point on PBEsol structure

Lattice parameters (Å, degrees): 3.133 4.491 5.144 115.89 107.73 90.00
Positions (direct):
Ru1 0.238 0.238 0.476
Ru2 0.762 0.762 0.524
Sb1 0.500 0.000 0.000
Mo1 0.000 0.500 0.000

* V: 61.3 Å³/cell


[26]
Material: SbMo2Ru
Method: DFT, meta-GGA SCAN
State: single point on PBEsol structure

Lattice parameters (Å, degrees): 3.002 4.613 4.613 90.00 90.00 90.00
Positions (direct):
Ru1 0.500 0.500 0.500
Sb1 0.500 0.000 0.000
Mo1 0.000 0.000 0.500
Mo2 0.000 0.500 0.000

* V: 63.9 Å³/cell


[27]
Material: TaSbMo2Ru
Method: DFT, meta-GGA SCAN
State: single point on PBEsol structure

Lattice parameters (Å, degrees): 4.661 4.661 4.720 90.00 90.00 90.00
Positions (direct):
Ru1 0.000 0.000 0.000
Ta1 0.000 0.000 0.500
Mo1 0.000 0.500 0.000
Mo2 0.500 0.000 0.000
Sb1 0.500 0.500 0.500

* V: 102.6 Å³/cell


For reference, E_tot by record: -198.6 -172.9 -170.5 -207.4 -207.4 -172.9 -117.2 -117.3 -82.7 -143.6 -134.8 -134.1 -135.0 -134.7 -134.8 -134.4 -134.1 -1009.3 -1044.5 -145.3 -88.9 -140.9 -141.5 -140.8 -140.7 -140.1 -202.1 eV per cell.